[1]
A relaxed structure of B6Pb3O11F2, computed with GGA-PBEsol.

Summary:
Formation energy from raw total energies   -2.17 eV per atom

Cell: 6.605 8.319 9.873 Å, 90.00 102.80 90.00°
Positions (direct):
B  0.004  0.000  0.450
B  0.078  0.558  0.887
B  0.082  0.316  0.165
B  0.097  0.782  0.629
B  0.290  0.064  0.207
B  0.318  0.537  0.728
B  0.682  0.037  0.272
B  0.710  0.564  0.793
B  0.903  0.282  0.371
B  0.918  0.816  0.835
B  0.922  0.058  0.113
B  0.996  0.500  0.550
Pb  0.071  0.171  0.774
Pb  0.455  0.837  0.958
Pb  0.461  0.331  0.466
Pb  0.539  0.831  0.534
Pb  0.545  0.337  0.042
Pb  0.929  0.671  0.226
O  0.003  0.378  0.279
O  0.054  0.159  0.440
O  0.069  0.716  0.930
O  0.107  0.977  0.167
O  0.149  0.898  0.529
O  0.186  0.440  0.618
O  0.259  0.494  0.863
O  0.281  0.230  0.211
O  0.294  0.708  0.699
O  0.341  0.113  0.928
O  0.468  0.981  0.257
O  0.532  0.481  0.743
O  0.659  0.613  0.072
O  0.706  0.208  0.301
O  0.719  0.730  0.789
O  0.741  0.994  0.137
O  0.814  0.940  0.382
O  0.851  0.398  0.471
O  0.893  0.477  0.833
O  0.931  0.216  0.070
O  0.946  0.659  0.560
O  0.997  0.878  0.721
F  0.132  0.457  0.091
F  0.411  0.605  0.400
F  0.589  0.105  0.600
F  0.868  0.957  0.909

[2]
A relaxed structure of KFeSe2, computed with GGA-PBEsol.

Summary:
Formation energy from raw total energies   -0.61 eV per atom

Cell: 6.986 11.366 5.510 Å, 90.00 113.32 90.00°
Positions (direct):
K  0.000  0.136  0.250
K  0.000  0.864  0.750
K  0.500  0.364  0.750
K  0.500  0.636  0.250
Fe  0.000  0.499  0.750
Fe  0.000  0.501  0.250
Fe  0.500  0.001  0.250
Fe  0.500  0.999  0.750
Se  0.198  0.384  0.099
Se  0.198  0.616  0.599
Se  0.302  0.116  0.901
Se  0.302  0.884  0.401
Se  0.698  0.116  0.599
Se  0.698  0.884  0.099
Se  0.802  0.384  0.401
Se  0.802  0.616  0.901

[3]
A relaxed structure of K3BaPb, computed with GGA-PBEsol.

Summary:
Energy of formation   0.1887 eV/atom

Cell: 6.752 6.752 6.752 Å, 90.00 90.00 90.00°
Positions (direct):
K  0.000  0.000  0.500
K  0.000  0.500  0.000
K  0.500  0.000  0.000
Ba  0.500  0.500  0.500
Pb  0.000  0.000  0.000